Computed, not measured: a relaxed TlGa2Te crystal at the GGA-PBE level of DFT.

## Properties
Polymorph energy (0 for the lowest one) ... 0.064 eV/atom
E ... -2.862 eV per atom
Formation energy without anion corrections ... 29 meV/atom

a = 6.5866 Å, b = 6.5866 Å, c = 7.7366 Å
α = 64.81°, β = 64.81°, γ = 90.00°
Closest atoms and distances in Å follow each position.
Element x y z (fractional)
Tl 0.7500 0.2500 0.5000  4 Ga 2.78
Te 0.2500 0.7500 0.5000  4 Ga 2.81
Te 0.5000 0.5000 0.0000  4 Ga 2.81
Ga 0.8750 0.8779 0.7500  2 Tl 2.78, 2 Te 2.81
Ga 0.3750 0.3721 0.7500  2 Tl 2.78, 2 Te 2.81
Ga 0.1221 0.6250 0.2500  2 Tl 2.78, 2 Te 2.81
Tl 0.0000 0.0000 0.0000  4 Ga 2.78
Ga 0.6279 0.1250 0.2500  2 Tl 2.78, 2 Te 2.81